Entry 1:
Computed, not measured: Ca2PIr after structural relaxation at the PBE level of DFT.

Calculated values
Total moment ... 0.00 μB/cell
Formation enthalpy at 0 K ... -0.635 eV/atom
V ... 22.423 Å³ per atom

a = 6.404 Å, b = 6.404 Å, c = 6.404 Å
α = 149.43°, β = 137.52°, γ = 53.24°
Element x y z (fractional)
P1 0.685 0.185 0.500
Ca1 0.276 0.776 0.500
Ca2 0.995 0.995 0.000
Ir1 0.544 0.544 0.000

---

Entry 2:
Computed, not measured: BiIrS2 after structural relaxation at the PBE level of DFT.

Calculated values
ΔE_f (raw) ... 14 meV per atom
Total moment ... 0.00 μB/cell
V ... 22.672 Å³ per atom

a = 3.538 Å, b = 3.538 Å, c = 8.365 Å
α = 90.00°, β = 90.00°, γ = 120.00°
Element x y z (fractional)
Bi1 0.000 0.000 0.951
S1 0.667 0.333 0.328
S2 0.333 0.667 0.724
Ir1 0.333 0.667 0.451

---

Entry 3:
Computed, not measured: LiCu2Cl after structural relaxation at the PBE level of DFT.

Calculated values
ΔE_f (raw) ... 12 meV per atom
Total moment ... 0.00 μB/cell
V ... 18.348 Å³ per atom
Excess energy over the best structure of this formula in the dataset ... 10.62 kcal/mol of atoms

a = 8.105 Å, b = 8.105 Å, c = 6.152 Å
α = 48.79°, β = 48.79°, γ = 90.00°
Element x y z (fractional)
Cu1 0.375 0.312 0.750
Cu2 0.062 0.625 0.250
Cu3 0.875 0.938 0.750
Cu4 0.688 0.125 0.250
Cl1 0.000 0.000 0.000
Cl2 0.750 0.250 0.500
Li1 0.500 0.500 0.000
Li2 0.250 0.750 0.500

---

Entry 4:
Computed, not measured: SrPBr2 after structural relaxation at the PBE level of DFT.

Calculated values
ΔE_f (raw) ... -733 meV per atom
Total moment ... 0.00 μB/cell
V ... 31.447 Å³ per atom
Excess energy over the best structure of this formula in the dataset ... 3.42 kcal/mol of atoms

a = 4.169 Å, b = 4.842 Å, c = 6.232 Å
α = 90.00°, β = 90.00°, γ = 90.00°
Element x y z (fractional)
Sr1 0.500 0.500 0.695
Br1 0.000 0.000 0.975
Br2 0.500 0.500 0.220
P1 0.000 0.000 0.610